w | A relaxed structure of SrPtSe2, computed with GGA-PBE.

Space-group type: P4/mmm
V (Å³ per cell): 89.6

Cell: 3.5559 3.5559 7.0836 Å, 90.00 90.00 90.00°
Element x y z (fractional)
1 Pt 0.5000 0.5000 0.7500
2 Se 0.0000 0.0000 0.9661
3 Se 0.0000 0.0000 0.5339
4 Sr 0.5000 0.5000 0.2500

x | A relaxed structure of SrPtSe2, computed with GGA-PBE.

Space-group type: I-42d
V (Å³ per cell): 238.0

Cell: 5.6665 5.6665 8.4255 Å, 70.35 70.35 90.00°
Element x y z (fractional)
1 Sr 0.5000 0.5000 0.0000
2 Sr 0.2500 0.7500 0.5000
3 Se 0.7137 0.1250 0.2500
4 Se 0.0363 0.6250 0.2500
5 Se 0.3750 0.2863 0.7500
6 Se 0.8750 0.9637 0.7500
7 Pt 0.0000 0.0000 0.0000
8 Pt 0.7500 0.2500 0.5000

Most stable to least stable, the ends of the list are x and w.

w | A relaxed structure of BeW, computed with GGA-PBE.

Space-group type: Fd-3m
V (Å³ per cell): 53.0

Cell: 4.2173 4.2173 4.2173 Å, 60.00 60.00 60.00°
Element x y z (fractional)
1 Be 0.1250 0.1250 0.1250
2 Be 0.8750 0.8750 0.8750
3 W 0.3750 0.3750 0.3750
4 W 0.6250 0.6250 0.6250

x | A relaxed structure of BeW, computed with GGA-PBE.

Space-group type: P4/nmm
V (Å³ per cell): 52.5

Cell: 3.1924 3.1924 5.1524 Å, 90.00 90.00 90.00°
Element x y z (fractional)
1 Be 0.0000 0.0000 0.9887
2 Be 0.5000 0.5000 0.2613
3 W 0.0000 0.0000 0.4916
4 W 0.5000 0.5000 0.7584

Most stable to least stable, the ends of the list are x and w.

w | A relaxed structure of KBa2Mo, computed with GGA-PBE.

Space-group type: Imm2
V (Å³ per cell): 195.7

Cell: 9.4355 9.4355 5.7786 Å, 72.16 72.16 23.62°
Last column: magnetic moment on the atom in μB.
Element x y z (fractional)
1 Ba 0.0890 0.0890 0.9110  -0.03
2 Ba 0.2507 0.2507 0.2493  -0.01
3 K 0.4201 0.4201 0.5800  0.00
4 Mo 0.7401 0.7401 0.7597  2.34

x | A relaxed structure of KBa2Mo, computed with GGA-PBE.

Space-group type: I-4m2
V (Å³ per cell): 180.2

Cell: 7.1783 7.1783 7.1783 Å, 135.32 135.32 65.03°
Last column: magnetic moment on the atom in μB.
Element x y z (fractional)
1 Ba 0.0000 0.0000 0.0000  -0.10
2 Ba 0.2500 0.7500 0.5000  -0.08
3 K 0.5000 0.5000 0.0000  -0.01
4 Mo 0.7500 0.2500 0.5000  3.34

Most stable to least stable, the ends of the list are w and x.